An optimized crystal structure of GdThAs2. Source: the Alexandria database, functional GGA-PBE.

Crystal system: trigonal
Raw total energy (eV/atom): -9.179
Fermi-level density of states (states/eV/cell): 2.1
E_form (eV/atom): -1.48

a = 4.2179 Å, b = 4.2179 Å, c = 7.2808 Å
α = 73.16°, β = 73.16°, γ = 60.00°
Last column: magnetic moment on the atom in μB.
Fractional positions:
As: 0.2484 0.2484 0.2547  -0.02
As: 0.7516 0.7516 0.7453  -0.02
Gd: 0.5000 0.5000 0.5000  6.94
Th: 0.0000 0.0000 0.0000  -0.03

=====

An optimized crystal structure of Gd2TlAs. Source: the Alexandria database, functional GGA-PBE.

Crystal system: trigonal
Raw total energy (eV/atom): -9.697
Fermi-level density of states (states/eV/cell): 2.9
E_form (eV/atom): -0.90

a = 4.0400 Å, b = 4.0400 Å, c = 8.3026 Å
α = 75.92°, β = 75.92°, γ = 60.00°
Last column: magnetic moment on the atom in μB.
Fractional positions:
Tl: 0.5000 0.5000 0.5000  -0.01
Gd: 0.2627 0.2627 0.2119  7.04
Gd: 0.7373 0.7373 0.7881  7.04
As: 0.0000 0.0000 0.0000  -0.05

=====

An optimized crystal structure of Gd2TlAs. Source: the Alexandria database, functional GGA-PBE.

Crystal system: tetragonal
Raw total energy (eV/atom): -9.549
Fermi-level density of states (states/eV/cell): 3.1
E_form (eV/atom): -0.75

a = 3.6512 Å, b = 3.6512 Å, c = 7.7318 Å
α = 90.00°, β = 90.00°, γ = 90.00°
Last column: magnetic moment on the atom in μB.
Fractional positions:
Tl: 0.5000 0.5000 0.5000  -0.01
Gd: 0.0000 0.0000 0.7827  7.13
Gd: 0.0000 0.0000 0.2173  7.13
As: 0.5000 0.5000 0.0000  -0.04

=====

An optimized crystal structure of GdTmAs2. Source: the Alexandria database, functional GGA-PBE.

Crystal system: trigonal
Raw total energy (eV/atom): -8.483
Fermi-level density of states (states/eV/cell): 0.4
E_form (eV/atom): -1.52

a = 4.1170 Å, b = 4.1170 Å, c = 7.1235 Å
α = 73.20°, β = 73.20°, γ = 60.00°
Last column: magnetic moment on the atom in μB.
Fractional positions:
Gd: 0.5000 0.5000 0.5000  6.96
As: 0.2520 0.2520 0.2441  -0.03
As: 0.7480 0.7480 0.7559  -0.03
Tm: 0.0000 0.0000 0.0000  -0.01

=====

An optimized crystal structure of GdTm2As. Source: the Alexandria database, functional GGA-PBE.

Crystal system: trigonal
Raw total energy (eV/atom): -7.311
Fermi-level density of states (states/eV/cell): 5.6
E_form (eV/atom): -0.39

a = 3.7446 Å, b = 3.7446 Å, c = 10.4345 Å
α = 79.66°, β = 79.66°, γ = 60.00°
Last column: magnetic moment on the atom in μB.
Fractional positions:
Gd: 0.0000 0.0000 0.0000  7.40
As: 0.5000 0.5000 0.5000  0.00
Tm: 0.1108 0.1108 0.6677  0.04
Tm: 0.8892 0.8892 0.3323  0.04

=====

An optimized crystal structure of Gd2TmAs. Source: the Alexandria database, functional GGA-PBE.

Crystal system: trigonal
Raw total energy (eV/atom): -9.903
Fermi-level density of states (states/eV/cell): 3.6
E_form (eV/atom): -0.58

a = 3.8773 Å, b = 3.8773 Å, c = 9.6834 Å
α = 78.45°, β = 78.45°, γ = 60.00°
Last column: magnetic moment on the atom in μB.
Fractional positions:
Gd: 0.2706 0.2706 0.1883  7.19
Gd: 0.7294 0.7294 0.8117  7.19
As: 0.0000 0.0000 0.0000  -0.05
Tm: 0.5000 0.5000 0.5000  0.53

=====

An optimized crystal structure of GdTmAs. Source: the Alexandria database, functional GGA-PBE.

Crystal system: trigonal
Raw total energy (eV/atom): -8.593
Fermi-level density of states (states/eV/cell): 3.2
E_form (eV/atom): -0.86

a = 6.4506 Å, b = 3.9361 Å, c = 3.9361 Å
α = 120.00°, β = 90.00°, γ = 90.00°
Last column: magnetic moment on the atom in μB.
Fractional positions:
Gd: 0.5991 0.6667 0.3333  7.25
As: 0.3293 0.3333 0.6667  -0.02
Tm: 0.0717 0.0000 0.0000  0.25

=====

An optimized crystal structure of GdTmAs. Source: the Alexandria database, functional GGA-PBE.

Crystal system: tetragonal
Raw total energy (eV/atom): -8.497
Fermi-level density of states (states/eV/cell): 1.4
E_form (eV/atom): -0.76

a = 3.6899 Å, b = 3.6899 Å, c = 6.2262 Å
α = 107.24°, β = 107.24°, γ = 90.00°
Last column: magnetic moment on the atom in μB.
Fractional positions:
Gd: 0.9703 0.9703 0.9405  7.25
As: 0.6248 0.6248 0.2496  -0.01
Tm: 0.2549 0.2549 0.5098  0.33

=====

An optimized crystal structure of GdUAs2. Source: the Alexandria database, functional GGA-PBE.

Crystal system: trigonal
Raw total energy (eV/atom): -9.799
Fermi-level density of states (states/eV/cell): 4.4
E_form (eV/atom): -1.13

a = 4.0865 Å, b = 4.0865 Å, c = 7.2423 Å
α = 73.61°, β = 73.61°, γ = 60.00°
Last column: magnetic moment on the atom in μB.
Fractional positions:
As: 0.2516 0.2516 0.2452  0.03
As: 0.7484 0.7484 0.7548  0.03
Gd: 0.5000 0.5000 0.5000  6.96
U: 0.0000 0.0000 0.0000  -2.25

=====

An optimized crystal structure of GdAs2W. Source: the Alexandria database, functional GGA-PBE.

Crystal system: trigonal
Raw total energy (eV/atom): -9.049
Fermi-level density of states (states/eV/cell): 3.4
E_form (eV/atom): 0.03

a = 3.2860 Å, b = 3.2860 Å, c = 9.7044 Å
α = 80.25°, β = 80.25°, γ = 60.00°
Last column: magnetic moment on the atom in μB.
Fractional positions:
As: 0.1049 0.1049 0.6853  0.00
As: 0.8951 0.8951 0.3147  0.00
Gd: 0.0000 0.0000 0.0000  7.32
W: 0.5000 0.5000 0.5000  0.09

=====

Which of these has the lowest raw total energy?
Gd2TmAs